# 1
A plane-wave DFT calculation with GGA-PBEsol was carried out for an optimized crystal structure of CrTePt2.

Summary:
**DOS at the Fermi energy**: 3.451 states/eV/f.u.
**Total energy**: -6.830 eV/atom
**Magnetic moment**: 3.369 μB/f.u.
**Space-group type**: No. 65
**Energy relative to the elements, uncorrected**: 94 meV per atom

abc: 4.3270 4.3270 3.6556
angles: 90.00 90.00 101.37
Sites, in units of the cell vectors:
Cr 0.0000 0.0000 0.0000
Te 0.5000 0.5000 0.0000
Pt 0.0000 0.5000 0.5000
Pt 0.5000 0.0000 0.5000

# 2
A plane-wave DFT calculation with GGA-PBEsol was carried out for an optimized crystal structure of Tc2Rh.

Summary:
**DOS at the Fermi energy**: 2.869 states/eV/f.u.
**Total energy**: -10.333 eV/atom
**Magnetic moment**: 0.000 μB/f.u.
**Space-group type**: No. 63
**ΔE_f**: -0.1097 eV per atom

abc: 7.2141 7.2141 4.2894
angles: 90.00 90.00 158.36
Sites, in units of the cell vectors:
Tc 0.0545 0.9455 0.7500
Tc 0.3879 0.6121 0.7500
Tc 0.6121 0.3879 0.2500
Tc 0.9455 0.0545 0.2500
Rh 0.2770 0.7230 0.2500
Rh 0.7230 0.2770 0.7500

# 3
A plane-wave DFT calculation with GGA-PBEsol was carried out for an optimized crystal structure of K3Ba.

Summary:
**DOS at the Fermi energy**: 4.519 states/eV/f.u.
**Total energy**: -1.289 eV/atom
**Magnetic moment**: 0.000 μB/f.u.
**Space-group type**: No. 25
**ΔE_f**: 0.0986 eV per atom

abc: 4.4695 7.5275 7.9977
angles: 90.00 90.00 90.00
Sites, in units of the cell vectors:
K 0.0000 0.0000 0.0000
K 0.0000 0.5000 0.3301
K 0.5000 0.5000 0.8245
Ba 0.5000 0.0000 0.4988

# 4
A plane-wave DFT calculation with GGA-PBEsol was carried out for an optimized crystal structure of CdGa2Se4.

Summary:
**DOS at the Fermi energy**: 3.003 states/eV/f.u.
**Total energy**: -3.648 eV/atom
**Magnetic moment**: 0.000 μB/f.u.
**Space-group type**: No. 119
**Energy relative to the elements, uncorrected**: -323 meV per atom

abc: 6.5155 6.5155 6.5155
angles: 130.46 130.46 72.68
Sites, in units of the cell vectors:
Cd 0.0000 0.0000 0.0000
Ga 0.2500 0.7500 0.5000
Ga 0.5000 0.5000 0.0000
Se 0.0171 0.5171 0.5000
Se 0.2677 0.2677 0.0000
Se 0.4829 0.9829 0.5000
Se 0.7323 0.7323 0.0000

# 5
A plane-wave DFT calculation with GGA-PBEsol was carried out for an optimized crystal structure of Mg3Au.

Summary:
**DOS at the Fermi energy**: 1.575 states/eV/f.u.
**Total energy**: -2.605 eV/atom
**Magnetic moment**: 0.000 μB/f.u.
**Space-group type**: No. 221
**ΔE_f**: -0.3358 eV per atom

abc: 4.2178 4.2178 4.2178
angles: 90.00 90.00 90.00
Sites, in units of the cell vectors:
Mg 0.0000 0.0000 0.5000
Mg 0.0000 0.5000 0.0000
Mg 0.5000 0.0000 0.0000
Au 0.5000 0.5000 0.5000

# 6
A plane-wave DFT calculation with GGA-PBEsol was carried out for an optimized crystal structure of ZrBe3Ir.

Summary:
**DOS at the Fermi energy**: 1.871 states/eV/f.u.
**Total energy**: -6.243 eV/atom
**Magnetic moment**: 0.000 μB/f.u.
**Space-group type**: No. 221
**ΔE_f**: -0.0601 eV per atom

abc: 4.1196 4.1196 4.1196
angles: 90.00 90.00 90.00
Sites, in units of the cell vectors:
Zr 0.0000 0.0000 0.0000
Be 0.0000 0.5000 0.5000
Be 0.5000 0.0000 0.5000
Be 0.5000 0.5000 0.0000
Ir 0.5000 0.5000 0.5000

# 7
A plane-wave DFT calculation with GGA-PBEsol was carried out for an optimized crystal structure of ZrAlBr2.

Summary:
**DOS at the Fermi energy**: 3.836 states/eV/f.u.
**Total energy**: -4.228 eV/atom
**Magnetic moment**: 0.001 μB/f.u.
**Space-group type**: No. 123
**Energy relative to the elements, uncorrected**: 2 meV per atom

abc: 4.4114 4.4114 4.4532
angles: 90.00 90.00 90.00
Sites, in units of the cell vectors:
Zr 0.0000 0.0000 0.0000
Al 0.5000 0.5000 0.0000
Br 0.0000 0.5000 0.5000
Br 0.5000 0.0000 0.5000

# 8
A plane-wave DFT calculation with GGA-PBEsol was carried out for an optimized crystal structure of PIr3Rh.

Summary:
**DOS at the Fermi energy**: 9.256 states/eV/f.u.
**Total energy**: -6.344 eV/atom
**Magnetic moment**: 0.002 μB/f.u.
**Space-group type**: No. 221
**ΔE_f**: 2.3363 eV per atom

abc: 4.6170 4.6170 4.6170
angles: 90.00 90.00 90.00
Sites, in units of the cell vectors:
P 0.0000 0.0000 0.0000
Ir 0.0000 0.5000 0.5000
Ir 0.5000 0.0000 0.5000
Ir 0.5000 0.5000 0.0000
Rh 0.5000 0.5000 0.5000

> Among the records above, which one has the highest magnetic moment?

CrTePt2